Be2CdTe | PBE-GGA | optimized geometry

Unit cell a=4.8723 b=4.8723 c=4.8723 alpha=126.72 beta=126.72 gamma=78.71
Closest atoms and distances in Å follow each position.
Positions (direct):
Be (0.5000, 0.5000, 0.0000)  4 Cd 2.88, 4 Te 2.88, 4 Be 3.09
Be (0.0000, 0.0000, 0.0000)  4 Cd 2.88, 4 Te 2.88, 4 Be 3.09
Cd (0.2500, 0.7500, 0.5000)  8 Be 2.88, 4 Te 3.09
Te (0.7500, 0.2500, 0.5000)  8 Be 2.88, 4 Cd 3.09

Output
As for the density of states at the Fermi level: 0.398 states/eV per atom. The formation energy from raw total energies is 0.7668 eV per atom. The value obtained for the energy above the lowest structure with this stoichiometry is 464 meV per atom. The calculation puts the volume at 72 Å³ per cell.